A relaxed Mg2GaCo5Ge2 crystal. Source: Alexandria via LeMat-Bulk, functional GGA-PBE.

Summary:
Density of states at the Fermi level: 0.94 states/eV/atom
Energy of formation from the pure elements: -0.1116 eV/atom
DFT total energy: -104.19 eV per cell
Mass density: 6.9 g cm⁻³
Total magnetization: 1.8 Bohr magnetons per cell
Calculated volume: 13.443 A^3/atom

a = 9.039 Å, b = 9.039 Å, c = 3.290 Å
α = 90.00°, β = 90.00°, γ = 90.00°
Space group P4/mbm (No. 127)
Unique sites:
Mg  0.170  0.330  0.000 (multiplicity 4)
Ga  0.000  0.000  0.000 (multiplicity 2)
Co  0.000  0.500  0.500 (multiplicity 2)
Co  0.066  0.802  0.500 (multiplicity 8)
Ge  0.129  0.629  0.000 (multiplicity 4)